No. 1
Tl6HgSe4 | PBE | optimized geometry Values from VASP.

Summary:
As for the volume: 33.2 Å³/atom. As for the formation energy from raw total energies: -0.3182 eV per atom. The electronic total energy is -63.9 eV per cell.

Geometry as Quantum ESPRESSO input:
```
&SYSTEM
  ibrav = 0, nat = 22, ntyp = 3
/
ATOMIC_SPECIES
Tl 204.38 Tl.upf
Hg 200.59 Hg.upf
Se 78.96 Se.upf
ATOMIC_POSITIONS crystal
Tl 0.061 0.530 0.000
Tl 0.156 0.311 0.678
Tl 0.156 0.844 0.678
Tl 0.311 0.156 0.178
Tl 0.470 0.530 0.000
Tl 0.470 0.939 0.000
Tl 0.530 0.061 0.500
Tl 0.530 0.470 0.500
Tl 0.689 0.844 0.678
Tl 0.844 0.156 0.178
Tl 0.844 0.689 0.178
Tl 0.939 0.470 0.500
Hg 0.333 0.667 0.361
Hg 0.667 0.333 0.861
Se 0.190 0.380 0.263
Se 0.190 0.810 0.263
Se 0.333 0.667 0.744
Se 0.380 0.190 0.763
Se 0.620 0.810 0.263
Se 0.667 0.333 0.244
Se 0.810 0.190 0.763
Se 0.810 0.620 0.763
CELL_PARAMETERS angstrom
10.667 0.000 0.000
-5.334 9.238 0.000
0.000 0.000 7.412
```



No. 2
Tl4HgSe3 | PBE | optimized geometry Values from VASP.

Summary:
As for the volume: 35.6 Å³/atom. As for the formation energy from raw total energies: -0.2927 eV per atom. The electronic total energy is -45.1 eV per cell.

Geometry as Quantum ESPRESSO input:
```
&SYSTEM
  ibrav = 0, nat = 16, ntyp = 3
/
ATOMIC_SPECIES
Tl 204.38 Tl.upf
Hg 200.59 Hg.upf
Se 78.96 Se.upf
ATOMIC_POSITIONS crystal
Tl 0.069 0.451 0.496
Tl 0.166 0.834 0.500
Tl 0.223 0.590 0.905
Tl 0.345 0.809 0.223
Tl 0.451 0.069 0.996
Tl 0.590 0.223 0.405
Tl 0.809 0.345 0.723
Tl 0.834 0.166 0.000
Hg 0.628 0.935 0.652
Hg 0.935 0.628 0.152
Se 0.003 0.895 0.747
Se 0.201 0.252 0.189
Se 0.252 0.201 0.689
Se 0.600 0.618 0.445
Se 0.618 0.600 0.945
Se 0.895 0.003 0.247
CELL_PARAMETERS angstrom
7.193 -3.687 0.000
7.193 3.687 0.000
-6.236 0.000 10.734
```



No. 3
Tl2HgSe | PBE | optimized geometry Values from VASP.

Summary:
As for the volume: 32.9 Å³/atom. The energy above the lowest structure with this stoichiometry comes out at 0.233 eV/f.u. As for the formation energy from raw total energies: -0.2127 eV per atom. The electronic total energy is -9.4 eV per cell.

Geometry as Quantum ESPRESSO input:
```
&SYSTEM
  ibrav = 0, nat = 4, ntyp = 3
/
ATOMIC_SPECIES
Tl 204.38 Tl.upf
Hg 200.59 Hg.upf
Se 78.96 Se.upf
ATOMIC_POSITIONS crystal
Tl 0.000 0.000 0.000
Tl 0.308 0.500 0.677
Hg 0.583 0.000 0.442
Se 0.742 0.500 0.166
CELL_PARAMETERS angstrom
5.532 0.000 0.000
0.000 4.397 0.000
-1.926 0.000 5.412
```



No. 4
TlHgSe2 | PBE | optimized geometry Values from VASP.

Summary:
As for the volume: 26.4 Å³/atom. As for the formation energy from raw total energies: 0.0625 eV per atom. The electronic total energy is -9.4 eV per cell.

Geometry as Quantum ESPRESSO input:
```
&SYSTEM
  ibrav = 0, nat = 4, ntyp = 3
/
ATOMIC_SPECIES
Tl 204.38 Tl.upf
Hg 200.59 Hg.upf
Se 78.96 Se.upf
ATOMIC_POSITIONS crystal
Tl 0.000 0.000 0.000
Hg 0.000 0.000 0.500
Se 0.500 0.500 0.300
Se 0.500 0.500 0.700
CELL_PARAMETERS angstrom
4.008 0.000 0.000
0.000 4.008 0.000
0.000 0.000 6.582
```



No. 5
TlHg4Se2 | PBE | optimized geometry Values from VASP.

Summary:
As for the volume: 28.1 Å³/atom. As for the formation energy from raw total energies: -0.0985 eV per atom. The electronic total energy is -11.2 eV per cell.

Geometry as Quantum ESPRESSO input:
```
&SYSTEM
  ibrav = 0, nat = 7, ntyp = 3
/
ATOMIC_SPECIES
Tl 204.38 Tl.upf
Hg 200.59 Hg.upf
Se 78.96 Se.upf
ATOMIC_POSITIONS crystal
Tl 0.000 0.000 0.000
Hg 0.141 0.141 0.423
Hg 0.429 0.429 0.273
Hg 0.571 0.571 0.727
Hg 0.859 0.859 0.577
Se 0.274 0.274 0.833
Se 0.726 0.726 0.167
CELL_PARAMETERS angstrom
3.732 -2.150 0.000
3.732 2.150 0.000
-2.755 0.000 12.261
```



No. 6
TlHgSe2 | PBE | optimized geometry Values from VASP.

Summary:
As for the volume: 34.0 Å³/atom. As for the formation energy from raw total energies: -0.1818 eV per atom. The electronic total energy is -20.7 eV per cell.

Geometry as Quantum ESPRESSO input:
```
&SYSTEM
  ibrav = 0, nat = 8, ntyp = 3
/
ATOMIC_SPECIES
Tl 204.38 Tl.upf
Hg 200.59 Hg.upf
Se 78.96 Se.upf
ATOMIC_POSITIONS crystal
Tl 0.249 0.000 0.140
Tl 0.751 0.500 0.860
Hg 0.249 0.999 0.623
Hg 0.751 0.499 0.377
Se 0.251 0.732 0.392
Se 0.251 0.770 0.871
Se 0.749 0.232 0.608
Se 0.749 0.270 0.129
CELL_PARAMETERS angstrom
4.540 0.000 0.000
0.000 6.537 0.000
-0.005 0.000 9.177
```



No. 7
Tl2HgSe | PBE | optimized geometry Values from VASP.

Summary:
As for the volume: 32.0 Å³/atom. The energy above the lowest structure with this stoichiometry comes out at 0.289 eV/f.u. As for the formation energy from raw total energies: -0.1987 eV per atom. The electronic total energy is -18.6 eV per cell.

Geometry as Quantum ESPRESSO input:
```
&SYSTEM
  ibrav = 0, nat = 8, ntyp = 3
/
ATOMIC_SPECIES
Tl 204.38 Tl.upf
Hg 200.59 Hg.upf
Se 78.96 Se.upf
ATOMIC_POSITIONS crystal
Tl 0.098 0.625 0.973
Tl 0.375 0.348 0.473
Tl 0.652 0.125 0.027
Tl 0.875 0.902 0.527
Hg 0.250 0.750 0.500
Hg 0.500 0.500 0.000
Se 0.000 0.000 0.000
Se 0.750 0.250 0.500
CELL_PARAMETERS angstrom
-4.225 4.225 3.588
4.225 -4.225 3.588
4.225 4.225 -3.588
```



No. 8
Tl12Hg3Se | PBE | optimized geometry Values from VASP.

Summary:
As for the volume: 30.5 Å³/atom. As for the formation energy from raw total energies: -0.0305 eV per atom. The electronic total energy is -33.3 eV per cell.

Geometry as Quantum ESPRESSO input:
```
&SYSTEM
  ibrav = 0, nat = 16, ntyp = 3
/
ATOMIC_SPECIES
Tl 204.38 Tl.upf
Hg 200.59 Hg.upf
Se 78.96 Se.upf
ATOMIC_POSITIONS crystal
Tl 0.000 0.000 0.000
Tl 0.000 0.000 0.248
Tl 0.000 0.000 0.500
Tl 0.000 0.000 0.752
Tl 0.000 0.500 0.124
Tl 0.000 0.500 0.378
Tl 0.000 0.500 0.622
Tl 0.000 0.500 0.876
Tl 0.500 0.000 0.124
Tl 0.500 0.000 0.378
Tl 0.500 0.000 0.622
Tl 0.500 0.000 0.876
Hg 0.500 0.500 0.000
Hg 0.500 0.500 0.244
Hg 0.500 0.500 0.756
Se 0.500 0.500 0.500
CELL_PARAMETERS angstrom
5.634 0.000 0.000
0.000 5.634 0.000
0.000 0.000 15.363
```



Q: What is the volume in the eighth record?
A: 30.5 Å³/atom



Q: The lowest electronic total energy belongs to which entry?
A: Tl6HgSe4